i.
Entry from the Alexandria database: Pm6NdHo2 after structural relaxation (PBE).

Unit cell a=3.631 b=8.881 c=13.038 alpha=132.64 beta=81.94 gamma=90.09
Sites, in units of the cell vectors:
Pm (0.891, 0.555, 0.219)
Ho (0.444, 0.776, 0.110)
Ho (0.556, 0.224, 0.890)
Pm (0.667, 0.666, 0.667)
Pm (0.333, 0.334, 0.333)
Nd (0.000, 0.000, 0.000)
Pm (0.222, 0.893, 0.558)
Pm (0.109, 0.445, 0.781)
Pm (0.778, 0.107, 0.442)

***

ii.
Entry from the Alexandria database: Pm6NdHo2 after structural relaxation (PBE).

Unit cell a=6.171 b=7.582 c=7.582 alpha=59.99 beta=89.99 gamma=89.99
Sites, in units of the cell vectors:
Pm (0.711, 0.623, 0.188)
Pm (0.288, 0.812, 0.812)
Pm (0.711, 0.188, 0.623)
Pm (0.712, 0.188, 0.188)
Pm (0.289, 0.377, 0.812)
Nd (0.000, 0.000, 0.000)
Ho (0.218, 0.334, 0.334)
Pm (0.289, 0.812, 0.377)
Ho (0.782, 0.666, 0.666)

***

Top of the stability list: i, leading by 0.191 eV/atom.

***

i.
Entry from the Alexandria database: Pm2Nd4Ho5 after structural relaxation (PBE).

Unit cell a=3.525 b=9.256 c=12.579 alpha=111.59 beta=98.05 gamma=90.00
Sites, in units of the cell vectors:
Ho (0.145, 0.340, 0.290)
Ho (0.500, 0.000, 0.000)
Ho (0.145, 0.950, 0.290)
Pm (0.269, 0.269, 0.538)
Nd (0.596, 0.596, 0.192)
Nd (0.404, 0.404, 0.808)
Nd (0.000, 0.705, 0.000)
Ho (0.855, 0.660, 0.710)
Ho (0.855, 0.050, 0.710)
Nd (0.000, 0.295, 0.000)
Pm (0.731, 0.731, 0.462)

***

ii.
Entry from the Alexandria database: Pm2Nd4Ho5 after structural relaxation (PBE).

Unit cell a=5.732 b=6.618 c=10.099 alpha=91.29 beta=106.48 gamma=90.00
Sites, in units of the cell vectors:
Pm (0.402, 0.447, 0.803)
Ho (0.132, 0.890, 0.263)
Nd (0.977, 0.720, 0.954)
Ho (0.868, 0.110, 0.737)
Ho (0.500, 0.000, 0.000)
Ho (0.790, 0.600, 0.580)
Nd (0.305, 0.922, 0.610)
Pm (0.598, 0.553, 0.197)
Ho (0.210, 0.400, 0.420)
Nd (0.695, 0.078, 0.390)
Nd (0.023, 0.280, 0.046)

***

Top of the stability list: ii, leading by 0.153 eV/atom.

***

i.
Entry from the Alexandria database: Pm3Nd4Ho5 after structural relaxation (PBE).

Unit cell a=7.210 b=11.412 c=13.012 alpha=151.29 beta=56.33 gamma=129.27
Sites, in units of the cell vectors:
Nd (0.830, 0.662, 0.832)
Nd (0.917, 0.837, 0.668)
Ho (0.669, 0.335, 0.166)
Ho (0.500, 0.000, 0.500)
Pm (0.580, 0.163, 0.332)
Nd (0.083, 0.163, 0.332)
Pm (0.420, 0.837, 0.668)
Pm (0.000, 0.000, 0.500)
Nd (0.170, 0.338, 0.168)
Ho (0.249, 0.500, 0.000)
Ho (0.331, 0.665, 0.834)
Ho (0.751, 0.500, 0.000)

***

ii.
Entry from the Alexandria database: Pm3Nd4Ho5 after structural relaxation (PBE).

Unit cell a=5.988 b=8.617 c=9.764 alpha=105.65 beta=72.14 gamma=69.67
Sites, in units of the cell vectors:
Nd (0.171, 0.040, 0.618)
Ho (0.627, 0.944, 0.802)
Ho (0.785, 0.543, 0.886)
Ho (0.373, 0.056, 0.198)
Pm (0.524, 0.687, 0.266)
Ho (0.500, 0.500, 0.500)
Pm (0.000, 0.500, 0.500)
Nd (0.829, 0.960, 0.382)
Pm (0.476, 0.313, 0.734)
Nd (0.861, 0.223, 0.055)
Nd (0.139, 0.777, 0.945)
Ho (0.215, 0.457, 0.114)

***

Top of the stability list: i, leading by 0.202 eV/atom.

***

i.
Entry from the Alexandria database: Pm3Nd4Ho4 after structural relaxation (PBE).

Unit cell a=5.754 b=6.701 c=10.768 alpha=90.00 beta=90.00 gamma=115.42
Sites, in units of the cell vectors:
Ho (0.555, 0.109, 0.000)
Pm (0.410, 0.820, 0.291)
Nd (0.753, 0.507, 0.211)
Nd (0.883, 0.766, 0.500)
Nd (0.960, 0.921, 0.000)
Ho (0.104, 0.209, 0.697)
Nd (0.753, 0.507, 0.789)
Pm (0.410, 0.820, 0.709)
Pm (0.254, 0.507, 0.000)
Ho (0.611, 0.221, 0.500)
Ho (0.104, 0.209, 0.303)

***

ii.
Entry from the Alexandria database: Pm3Nd4Ho4 after structural relaxation (PBE).

Unit cell a=3.612 b=9.485 c=12.179 alpha=112.92 beta=98.53 gamma=90.00
Sites, in units of the cell vectors:
Pm (0.000, 0.500, 0.000)
Ho (0.260, 0.760, 0.519)
Nd (0.646, 0.824, 0.292)
Ho (0.740, 0.240, 0.481)
Nd (0.354, 0.176, 0.708)
Nd (0.354, 0.532, 0.708)
Ho (0.500, 0.182, 0.000)
Ho (0.500, 0.818, 0.000)
Nd (0.646, 0.468, 0.292)
Pm (0.108, 0.108, 0.216)
Pm (0.892, 0.892, 0.784)

***

Top of the stability list: ii, leading by 0.023 eV/atom.